[1]
# Th4H3Rh12Au (PBE, relaxed)
data_Th4H3Rh12Au
_chemical_formula_sum 'Th8 H6 Rh24 Au2'
_space_group_name_H-M_alt 'I m -3 m'
_space_group_IT_number 229
_space_group_name_Hall '-I 4 2 3'
_cell_length_a 8.610
_cell_length_b 8.610
_cell_length_c 8.610
_cell_angle_alpha 90.00
_cell_angle_beta 90.00
_cell_angle_gamma 90.00
loop_
_atom_site_label
_atom_site_fract_x
_atom_site_fract_y
_atom_site_fract_z
Th1 0.250 0.250 0.250
H1 0.000 0.000 0.500
Rh1 0.000 0.000 0.297
Rh2 0.000 0.250 0.500
Au1 0.000 0.000 0.000
# Total moment ... 0.0 μB per formula unit
# Electronic total energy ... -142.08 eV per formula unit



[2]
# CoAs2Pt (PBE, relaxed)
data_CoAs2Pt
_chemical_formula_sum 'Co2 As4 Pt2'
_space_group_name_H-M_alt 'I m m m'
_space_group_IT_number 71
_space_group_name_Hall '-I 2 2'
_cell_length_a 3.383
_cell_length_b 3.937
_cell_length_c 11.308
_cell_angle_alpha 90.00
_cell_angle_beta 90.00
_cell_angle_gamma 90.00
loop_
_atom_site_label
_atom_site_fract_x
_atom_site_fract_y
_atom_site_fract_z
Co1 0.000 0.000 0.000
As1 0.000 0.500 0.353
Pt1 0.000 0.000 0.500
# Energy above the lowest structure with this stoichiometry ... 5.87 kcal/mol of atoms
# Energy relative to the elements ... -11 meV/atom
# Total moment ... 0.0 μB per formula unit
# Electronic total energy ... -22.49 eV per formula unit